# 1
The following is a DFT calculation (GGA-PBE) of a relaxed structure of TlAgPtPb.

The structure in CIF format:
```
data_TlAgPtPb
_symmetry_space_group_name_H-M 'F -4 3 m'
_symmetry_Int_Tables_number 216
_symmetry_space_group_name_Hall 'F -4 2 3'
_cell_length_a 7.073
_cell_length_b 7.073
_cell_length_c 7.073
_cell_angle_alpha 90.00
_cell_angle_beta 90.00
_cell_angle_gamma 90.00
loop_
_atom_site_label
_atom_site_fract_x
_atom_site_fract_y
_atom_site_fract_z
_atom_site_occupancy
Tl1 0.000 0.000 0.000 1
Ag1 0.250 0.250 0.250 1
Pt1 0.250 0.250 0.750 1
Pb1 0.000 0.000 0.500 1
```

Output
The formation enthalpy at 0 K is 10 kJ/mol of atoms. For the density of states at the Fermi level, the calculation gives 9.92 states/eV/cell.



# 2
The following is a DFT calculation (GGA-PBE) of a relaxed structure of Pu2AgPb.

The structure in CIF format:
```
data_Pu2AgPb
_symmetry_space_group_name_H-M 'R -3 m'
_symmetry_Int_Tables_number 166
_symmetry_space_group_name_Hall '-R 3 2"'
_cell_length_a 3.3568
_cell_length_b 3.3568
_cell_length_c 32.3383
_cell_angle_alpha 90.00
_cell_angle_beta 90.00
_cell_angle_gamma 120.00
loop_
_atom_site_label
_atom_site_fract_x
_atom_site_fract_y
_atom_site_fract_z
_atom_site_occupancy
Pu1 0.0000 0.0000 0.2459 1
Ag1 0.0000 0.0000 0.5000 1
Pb1 0.0000 0.0000 0.0000 1
```

Output
The formation enthalpy at 0 K is 12 kJ/mol of atoms. For the excess energy over the best structure of this formula in the dataset, the calculation gives 19.3 kJ/mol of atoms. For the density of states at the Fermi level, the calculation gives 48.42 states/eV/cell.



- Among the records above, which one has the lowest formation enthalpy at 0 K?
  TlAgPtPb